Entry 1:
Computed, not measured: a relaxed InReSeBr2 crystal at the GGA-PBE level of DFT.

Lattice parameters (Å, degrees): 5.3810 5.3810 4.7346 90.00 90.00 90.00
Sites, in units of the cell vectors:
In 0.0000 0.0000 0.0000
Re 0.5000 0.5000 0.5000
Se 0.5000 0.5000 0.0000
Br 0.0000 0.5000 0.5000
Br 0.5000 0.0000 0.5000

magnetization = 0.7 μB/cell
DOS at the Fermi energy = 2.2 states/eV/f.u.
ΔE to the lowest computed polymorph = 0.0 meV per atom
energy relative to the elements, uncorrected = 0.1511 eV/atom

=====

Entry 2:
Computed, not measured: a relaxed InRe2TeBr crystal at the GGA-PBE level of DFT.

Lattice parameters (Å, degrees): 4.9742 4.9742 6.7587 90.00 90.00 90.00
Sites, in units of the cell vectors:
In 0.0000 0.0000 0.0000
Re 0.0000 0.5000 0.5000
Re 0.5000 0.0000 0.5000
Te 0.0000 0.0000 0.5000
Br 0.5000 0.5000 0.0000

magnetization = 4.6 μB/cell
DOS at the Fermi energy = 4.0 states/eV/f.u.
energy relative to the elements, uncorrected = 1.8723 eV/atom

=====

Entry 3:
Computed, not measured: a relaxed InRhBr crystal at the GGA-PBE level of DFT.

Lattice parameters (Å, degrees): 3.3806 3.3806 11.3432 90.00 90.00 90.00
Sites, in units of the cell vectors:
In 0.0000 0.0000 0.0000
In 0.5000 0.5000 0.5000
Rh 0.0000 0.0000 0.3881
Rh 0.5000 0.5000 0.8881
Br 0.0000 0.0000 0.7205
Br 0.5000 0.5000 0.2205

magnetization = 0.0 μB/cell
DOS at the Fermi energy = 1.5 states/eV/f.u.
ΔE to the lowest computed polymorph = 49.0 meV per atom
energy relative to the elements, uncorrected = 0.0315 eV/atom

=====

Entry 4:
Computed, not measured: a relaxed InRhBr crystal at the GGA-PBE level of DFT.

Lattice parameters (Å, degrees): 6.4557 6.4557 6.4557 90.00 90.00 90.00
Sites, in units of the cell vectors:
In 0.0000 0.0000 0.0000
In 0.0000 0.5000 0.5000
In 0.5000 0.0000 0.5000
In 0.5000 0.5000 0.0000
Rh 0.2500 0.2500 0.2500
Rh 0.2500 0.7500 0.7500
Rh 0.7500 0.2500 0.7500
Rh 0.7500 0.7500 0.2500
Br 0.0000 0.0000 0.5000
Br 0.0000 0.5000 0.0000
Br 0.5000 0.0000 0.0000
Br 0.5000 0.5000 0.5000

magnetization = 0.0 μB/cell
DOS at the Fermi energy = 2.1 states/eV/f.u.
ΔE to the lowest computed polymorph = 60.7 meV per atom
energy relative to the elements, uncorrected = 0.0432 eV/atom

=====

Entry 5:
Computed, not measured: a relaxed In2RhBr crystal at the GGA-PBE level of DFT.

Lattice parameters (Å, degrees): 3.5877 3.5877 24.6070 90.00 90.00 120.00
Sites, in units of the cell vectors:
In 0.0000 0.0000 0.2377
In 0.0000 0.0000 0.7623
In 0.3333 0.6667 0.4290
In 0.3333 0.6667 0.9044
In 0.6667 0.3333 0.0956
In 0.6667 0.3333 0.5710
Rh 0.0000 0.0000 0.5000
Rh 0.3333 0.6667 0.1667
Rh 0.6667 0.3333 0.8333
Br 0.0000 0.0000 0.0000
Br 0.3333 0.6667 0.6667
Br 0.6667 0.3333 0.3333

magnetization = 0.0 μB/cell
DOS at the Fermi energy = 1.0 states/eV/f.u.
ΔE to the lowest computed polymorph = 8.8 meV per atom
energy relative to the elements, uncorrected = -0.2859 eV/atom

=====

Entry 6:
Computed, not measured: a relaxed In3RhBr crystal at the GGA-PBE level of DFT.

Lattice parameters (Å, degrees): 5.6219 5.6219 5.6219 90.00 90.00 90.00
Sites, in units of the cell vectors:
In 0.0000 0.0000 0.5000
In 0.0000 0.5000 0.0000
In 0.5000 0.0000 0.0000
Rh 0.5000 0.5000 0.5000
Br 0.0000 0.0000 0.0000

magnetization = 0.0 μB/cell
DOS at the Fermi energy = 8.3 states/eV/f.u.
ΔE to the lowest computed polymorph = 1383.2 meV per atom
energy relative to the elements, uncorrected = 0.9511 eV/atom

=====

Entry 7:
Computed, not measured: a relaxed In2RhBr crystal at the GGA-PBE level of DFT.

Lattice parameters (Å, degrees): 3.3416 3.6368 16.0728 90.00 90.00 90.00
Sites, in units of the cell vectors:
In 0.0000 0.0000 0.0000
In 0.0000 0.5000 0.2043
In 0.5000 0.0000 0.7043
In 0.5000 0.5000 0.5000
Rh 0.0000 0.0000 0.5701
Rh 0.5000 0.5000 0.0701
Br 0.0000 0.5000 0.8262
Br 0.5000 0.0000 0.3262

magnetization = 0.0 μB/cell
DOS at the Fermi energy = 1.6 states/eV/f.u.
ΔE to the lowest computed polymorph = 67.7 meV per atom
energy relative to the elements, uncorrected = -0.2270 eV/atom

=====

Entry 8:
Computed, not measured: a relaxed In3RhBr crystal at the GGA-PBE level of DFT.

Lattice parameters (Å, degrees): 5.2091 5.2091 5.2091 90.00 90.00 90.00
Sites, in units of the cell vectors:
In 0.0000 0.0000 0.5000
In 0.0000 0.5000 0.0000
In 0.5000 0.0000 0.0000
Rh 0.0000 0.0000 0.0000
Br 0.5000 0.5000 0.5000

magnetization = 0.0 μB/cell
DOS at the Fermi energy = 2.1 states/eV/f.u.
ΔE to the lowest computed polymorph = 0.0 meV per atom
energy relative to the elements, uncorrected = -0.4321 eV/atom

=====

Entry 9:
Computed, not measured: a relaxed In2RhBr crystal at the GGA-PBE level of DFT.

Lattice parameters (Å, degrees): 6.5753 6.5753 12.4442 90.00 90.00 90.00
Sites, in units of the cell vectors:
In 0.1847 0.2500 0.1250
In 0.2500 0.6847 0.3750
In 0.2500 0.8153 0.8750
In 0.3153 0.2500 0.6250
In 0.6847 0.7500 0.6250
In 0.7500 0.1847 0.8750
In 0.7500 0.3153 0.3750
In 0.8153 0.7500 0.1250
Rh 0.0000 0.0000 0.0000
Rh 0.0000 0.5000 0.2500
Rh 0.5000 0.0000 0.7500
Rh 0.5000 0.5000 0.5000
Br 0.0000 0.0000 0.5000
Br 0.0000 0.5000 0.7500
Br 0.5000 0.0000 0.2500
Br 0.5000 0.5000 0.0000

magnetization = 0.0 μB/cell
DOS at the Fermi energy = 0.5 states/eV/f.u.
ΔE to the lowest computed polymorph = 269.3 meV per atom
energy relative to the elements, uncorrected = -0.0254 eV/atom

=====

Entry 10:
Computed, not measured: a relaxed In2RhBr crystal at the GGA-PBE level of DFT.

Lattice parameters (Å, degrees): 3.4802 6.2663 9.0432 90.00 90.00 90.00
Sites, in units of the cell vectors:
In 0.0000 0.0000 0.2232
In 0.0000 0.0000 0.7768
In 0.5000 0.5000 0.2768
In 0.5000 0.5000 0.7232
Rh 0.0000 0.5000 0.5000
Rh 0.5000 0.0000 0.0000
Br 0.0000 0.5000 0.0000
Br 0.5000 0.0000 0.5000

magnetization = 0.0 μB/cell
DOS at the Fermi energy = 2.3 states/eV/f.u.
ΔE to the lowest computed polymorph = 397.1 meV per atom
energy relative to the elements, uncorrected = 0.1024 eV/atom

=====

Entry 11:
Computed, not measured: a relaxed In2RhBr crystal at the GGA-PBE level of DFT.

Lattice parameters (Å, degrees): 7.1527 7.1527 7.1527 90.00 90.00 90.00
Sites, in units of the cell vectors:
In 0.2500 0.2500 0.2500
In 0.2500 0.2500 0.7500
In 0.2500 0.7500 0.2500
In 0.2500 0.7500 0.7500
In 0.7500 0.2500 0.2500
In 0.7500 0.2500 0.7500
In 0.7500 0.7500 0.2500
In 0.7500 0.7500 0.7500
Rh 0.0000 0.0000 0.0000
Rh 0.0000 0.5000 0.5000
Rh 0.5000 0.0000 0.5000
Rh 0.5000 0.5000 0.0000
Br 0.0000 0.0000 0.5000
Br 0.0000 0.5000 0.0000
Br 0.5000 0.0000 0.0000
Br 0.5000 0.5000 0.5000

magnetization = 0.0 μB/cell
DOS at the Fermi energy = 3.6 states/eV/f.u.
ΔE to the lowest computed polymorph = 603.1 meV per atom
energy relative to the elements, uncorrected = 0.3084 eV/atom

=====

Entry 12:
Computed, not measured: a relaxed In2RhBr crystal at the GGA-PBE level of DFT.

Lattice parameters (Å, degrees): 3.6408 4.3652 6.1694 90.00 90.00 90.00
Sites, in units of the cell vectors:
In 0.0000 0.0000 0.0000
In 0.5000 0.0000 0.5000
Rh 0.0000 0.5000 0.5000
Br 0.5000 0.5000 0.0000

magnetization = 0.0 μB/cell
DOS at the Fermi energy = 1.5 states/eV/f.u.
ΔE to the lowest computed polymorph = 517.5 meV per atom
energy relative to the elements, uncorrected = 0.2228 eV/atom

=====

Entry 13:
Computed, not measured: a relaxed In2RhBr crystal at the GGA-PBE level of DFT.

Lattice parameters (Å, degrees): 3.1913 4.6377 12.7556 90.00 90.00 90.00
Sites, in units of the cell vectors:
In 0.0000 0.0000 0.1806
In 0.0000 0.0000 0.8194
In 0.5000 0.5000 0.3194
In 0.5000 0.5000 0.6806
Rh 0.0000 0.5000 0.5000
Rh 0.5000 0.0000 0.0000
Br 0.0000 0.5000 0.0000
Br 0.5000 0.0000 0.5000

magnetization = 0.0 μB/cell
DOS at the Fermi energy = 2.5 states/eV/f.u.
ΔE to the lowest computed polymorph = 310.1 meV per atom
energy relative to the elements, uncorrected = 0.0154 eV/atom

=====

Entry 14:
Computed, not measured: a relaxed In4RhBr2 crystal at the GGA-PBE level of DFT.

Lattice parameters (Å, degrees): 5.1612 5.1612 16.9342 90.00 90.00 90.00
Sites, in units of the cell vectors:
In 0.0000 0.0000 0.1554
In 0.0000 0.0000 0.8446
In 0.0000 0.5000 0.0000
In 0.0000 0.5000 0.5000
In 0.5000 0.0000 0.0000
In 0.5000 0.0000 0.5000
In 0.5000 0.5000 0.3446
In 0.5000 0.5000 0.6554
Rh 0.0000 0.0000 0.0000
Rh 0.5000 0.5000 0.5000
Br 0.0000 0.0000 0.3271
Br 0.0000 0.0000 0.6729
Br 0.5000 0.5000 0.1729
Br 0.5000 0.5000 0.8271

magnetization = 0.0 μB/cell
DOS at the Fermi energy = 4.3 states/eV/f.u.
energy relative to the elements, uncorrected = -0.3858 eV/atom

=====

Entry 15:
Computed, not measured: a relaxed In2RhBr crystal at the GGA-PBE level of DFT.

Lattice parameters (Å, degrees): 4.3498 4.3498 9.2542 90.00 90.00 90.00
Sites, in units of the cell vectors:
In 0.0000 0.5000 0.2500
In 0.0000 0.5000 0.7500
In 0.5000 0.0000 0.2500
In 0.5000 0.0000 0.7500
Rh 0.0000 0.0000 0.0000
Rh 0.5000 0.5000 0.5000
Br 0.0000 0.0000 0.5000
Br 0.5000 0.5000 0.0000

magnetization = 0.0 μB/cell
DOS at the Fermi energy = 4.6 states/eV/f.u.
ΔE to the lowest computed polymorph = 550.2 meV per atom
energy relative to the elements, uncorrected = 0.2555 eV/atom